Entry 1:
DFT (GGA-PBE) results for a relaxed TbErO crystal.

Lattice parameters (Å, degrees): 3.5129 3.5129 5.7261 90.00 90.00 120.00
Space group P3m1 (No. 156)
Asymmetric unit:
Tb  0.0000  0.0000  0.0000 [1 per cell]
Er  0.3333  0.6667  0.4709 [1 per cell]
O  0.6667  0.3333  0.2467 [1 per cell]

Entry 2:
DFT (GGA-PBE) results for a relaxed TbErO crystal.

Lattice parameters (Å, degrees): 13.151 3.486 6.460 90.00 119.00 90.00
Space group Cm (No. 8)
Asymmetric unit:
Tb  0.000  0.000  0.000 [2 per cell]
Tb  0.247  0.000  0.935 [2 per cell]
Er  0.254  0.500  0.416 [2 per cell]
Er  0.494  0.000  0.472 [2 per cell]
O  0.054  0.000  0.719 [2 per cell]
O  0.386  0.500  0.209 [2 per cell]

Entry 3:
DFT (GGA-PBE) results for a relaxed TbErO4 crystal.

Lattice parameters (Å, degrees): 6.800 3.737 6.201 90.00 96.21 90.00
Space group Cm (No. 8)
Asymmetric unit:
Tb  0.000  0.000  0.000 [2 per cell]
Er  0.367  0.000  0.457 [2 per cell]
O  0.037  0.000  0.377 [2 per cell]
O  0.091  0.500  0.779 [2 per cell]
O  0.277  0.500  0.670 [2 per cell]
O  0.331  0.000  0.087 [2 per cell]

Entry 4:
DFT (GGA-PBE) results for a relaxed Tb2ErO crystal.

Lattice parameters (Å, degrees): 3.196 3.196 8.685 90.00 90.00 90.00
Space group P4/mmm (No. 123)
Asymmetric unit:
Tb  0.000  0.000  0.176 [2 per cell]
Er  0.500  0.500  0.500 [1 per cell]
O  0.500  0.500  0.000 [1 per cell]

Entry 5:
DFT (GGA-PBE) results for a relaxed Tb2ErO crystal.

Lattice parameters (Å, degrees): 3.5408 3.5408 25.9982 90.00 90.00 120.00
Space group R-3m (No. 166, hexagonal axes)
Asymmetric unit:
Tb  0.0000  0.0000  0.2192 [6 per cell]
Er  0.0000  0.0000  0.0000 [3 per cell]
O  0.0000  0.0000  0.5000 [3 per cell]

Entry 6:
DFT (GGA-PBE) results for a relaxed Tb3ErO crystal.

Lattice parameters (Å, degrees): 4.944 4.944 4.944 90.00 90.00 90.00
Space group Pm-3m (No. 221)
Asymmetric unit:
Tb  0.000  0.000  0.500 [3 per cell]
Er  0.500  0.500  0.500 [1 per cell]
O  0.000  0.000  0.000 [1 per cell]

Energy relative to the elements, uncorrected, respectively: -1.80 -1.86 -2.99 -0.83 -1.33 -1.11 eV per atom.